No. 1
The following is a PBE calculation of an optimized crystal structure of ScAlB, from Alexandria via LeMat-Bulk.

Lattice parameters (Å, degrees): 5.6313 4.8816 4.7192 71.80 55.44 52.76
Closest atoms and distances in Å follow each position.
Sites, in units of the cell vectors:
Sc  0.1825  0.8175  0.1825  4 B 2.50
Sc  0.8175  0.1825  0.8175  4 B 2.50
Al  0.3249  0.3249  0.6751  4 B 2.44
Al  0.6751  0.6751  0.3249  4 B 2.44
B  0.2500  0.2500  0.2500  4 Al 2.44, 4 Sc 2.50, 2 B 2.68
B  0.7500  0.7500  0.7500  4 Al 2.44, 4 Sc 2.50, 2 B 2.68

* calculated volume: 85 Å³/cell
* DFT total energy: -33.83 eV per cell

---

No. 2
The following is a PBE calculation of an optimized crystal structure of ScAlB3, from Alexandria via LeMat-Bulk.

Lattice parameters (Å, degrees): 4.0406 4.0406 4.0406 90.00 90.00 90.00
Closest atoms and distances in Å follow each position.
Sites, in units of the cell vectors:
Sc  0.0000  0.0000  0.0000  12 B 2.86
Al  0.5000  0.5000  0.5000  6 B 2.02
B  0.0000  0.5000  0.5000  2 Al 2.02
B  0.5000  0.0000  0.5000  2 Al 2.02
B  0.5000  0.5000  0.0000  2 Al 2.02

* calculated volume: 66 Å³/cell
* DFT total energy: -24.79 eV per cell

---

No. 3
The following is a PBE calculation of an optimized crystal structure of ScAlB3, from Alexandria via LeMat-Bulk.

Lattice parameters (Å, degrees): 9.2916 9.2916 3.1375 90.00 90.00 158.45
Closest atoms and distances in Å follow each position.
Sites, in units of the cell vectors:
Sc  0.0741  0.9259  0.7500  12 B 2.50-2.53
Sc  0.9259  0.0741  0.2500  12 B 2.50-2.53
Al  0.2048  0.7952  0.2500  7 B 2.20-2.40
Al  0.7952  0.2048  0.7500  7 B 2.20-2.40
B  0.3255  0.6745  0.2500  2 B 1.82
B  0.3766  0.6234  0.7500  3 B 1.81-1.82
B  0.4757  0.5243  0.7500  3 B 1.80-1.81
B  0.5243  0.4757  0.2500  3 B 1.80-1.81
B  0.6234  0.3766  0.2500  3 B 1.81-1.82
B  0.6745  0.3255  0.7500  2 B 1.82

* calculated volume: 100 Å³/cell
* DFT total energy: -65.74 eV per cell

---

No. 4
The following is a PBE calculation of an optimized crystal structure of ScAlB3, from Alexandria via LeMat-Bulk.

Lattice parameters (Å, degrees): 4.3106 4.3106 4.3106 90.00 90.00 90.00
Closest atoms and distances in Å follow each position.
Sites, in units of the cell vectors:
Sc  0.0000  0.0000  0.0000  6 B 2.16
Al  0.5000  0.5000  0.5000  12 B 3.05
B  0.0000  0.0000  0.5000  2 Sc 2.16
B  0.0000  0.5000  0.0000  2 Sc 2.16
B  0.5000  0.0000  0.0000  2 Sc 2.16

* calculated volume: 80 Å³/cell
* DFT total energy: -20.27 eV per cell

---

No. 5
The following is a PBE calculation of an optimized crystal structure of ScAl2B, from Alexandria via LeMat-Bulk.

Lattice parameters (Å, degrees): 7.2012 7.2012 4.9046 90.00 90.00 90.00
Closest atoms and distances in Å follow each position.
Sites, in units of the cell vectors:
Sc  0.0000  0.0000  0.0000  2 B 2.45
Sc  0.0000  0.5000  0.2500  2 B 2.45
Sc  0.5000  0.0000  0.7500  2 B 2.45
Sc  0.5000  0.5000  0.5000  2 B 2.45
Al  0.1596  0.2500  0.6250  2 B 2.22
Al  0.2500  0.6596  0.8750  2 B 2.22
Al  0.2500  0.8404  0.3750  2 B 2.22
Al  0.3404  0.2500  0.1250  2 B 2.22
Al  0.6596  0.7500  0.1250  2 B 2.22
Al  0.7500  0.1596  0.3750  2 B 2.22
Al  0.7500  0.3404  0.8750  2 B 2.22
Al  0.8404  0.7500  0.6250  2 B 2.22
B  0.0000  0.0000  0.5000  4 Al 2.22, 2 Sc 2.45
B  0.0000  0.5000  0.7500  4 Al 2.22, 2 Sc 2.45
B  0.5000  0.0000  0.2500  4 Al 2.22, 2 Sc 2.45
B  0.5000  0.5000  0.0000  4 Al 2.22, 2 Sc 2.45

* calculated volume: 254 Å³/cell
* DFT total energy: -83.78 eV per cell

---

No. 6
The following is a PBE calculation of an optimized crystal structure of Sc2AlB2, from Alexandria via LeMat-Bulk.

Lattice parameters (Å, degrees): 6.0856 6.0856 3.6305 90.00 90.00 90.00
Closest atoms and distances in Å follow each position.
Sites, in units of the cell vectors:
Sc  0.1778  0.3222  0.0000  6 B 2.52-2.64
Sc  0.3222  0.8222  0.0000  6 B 2.52-2.64
Sc  0.6778  0.1778  0.0000  6 B 2.52-2.64
Sc  0.8222  0.6778  0.0000  6 B 2.52-2.64
Al  0.0000  0.0000  0.5000  4 B 2.51
Al  0.5000  0.5000  0.5000  4 B 2.51
B  0.0999  0.5999  0.5000  1 B 1.72
B  0.4001  0.0999  0.5000  1 B 1.72
B  0.5999  0.9001  0.5000  1 B 1.72
B  0.9001  0.4001  0.5000  1 B 1.72

* calculated volume: 134 Å³/cell
* DFT total energy: -64.98 eV per cell